A plane-wave DFT calculation with PBE was carried out for a geometry-optimized TlZnRh structure.

POSCAR file:
```
TlZnRh
1.0
2.2361 1.2910 6.9787
-2.2361 1.2910 6.9787
0.0000 -2.5820 6.9787
Tl Zn Rh
2 2 2
Cartesian
0.0000 0.0000 2.5184 Tl
0.0000 0.0000 18.4177 Tl
0.0000 0.0000 7.9528 Zn
0.0000 0.0000 12.9833 Zn
0.0000 0.0000 5.4622 Rh
0.0000 0.0000 15.4738 Rh
```

Properties
energy above the most stable polymorph in this dataset: 50 meV/atom
space-group type: R-3m (166)
ΔH_f (0 K): 38 meV/atom

***

A plane-wave DFT calculation with PBE was carried out for a geometry-optimized Tl4ZnRh structure.

POSCAR file:
```
Tl4ZnRh
1.0
0.0000 4.3420 4.3420
4.3420 0.0000 4.3420
4.3420 4.3420 0.0000
Tl Zn Rh
4 1 1
Cartesian
1.0893 1.0893 1.0893 Tl
3.2527 3.2527 1.0893 Tl
3.2527 1.0893 3.2527 Tl
1.0893 3.2527 3.2527 Tl
6.5130 6.5130 6.5130 Zn
4.3420 4.3420 4.3420 Rh
```

Properties
space-group type: F-43m (216)
ΔH_f (0 K): 656 meV/atom

***

A plane-wave DFT calculation with PBE was carried out for a geometry-optimized TlZnRh structure.

POSCAR file:
```
TlZnRh
1.0
0.0000 3.1247 3.1247
3.1247 0.0000 3.1247
3.1247 3.1247 0.0000
Tl Zn Rh
1 1 1
Cartesian
0.0000 0.0000 0.0000 Tl
3.1247 3.1247 3.1247 Zn
4.6870 4.6870 4.6870 Rh
```

Properties
energy above the most stable polymorph in this dataset: 60 meV/atom
space-group type: F-43m (216)
ΔH_f (0 K): 49 meV/atom